Computed, not measured: YSb2C2 after structural relaxation at the GGA-PBE level of DFT.

a = 7.2262 Å, b = 7.2262 Å, c = 3.6792 Å
α = 90.00°, β = 90.00°, γ = 90.00°
Closest atoms and distances in Å follow each position.
Sites, in units of the cell vectors:
Y (0.0000, 0.0000, 0.0000)  4 C 2.56
Y (0.5000, 0.5000, 0.0000)  4 C 2.56
Sb (0.1470, 0.6470, 0.5000)  2 C 2.19
Sb (0.6470, 0.8530, 0.5000)  2 C 2.19
Sb (0.8530, 0.3530, 0.5000)  2 C 2.19
Sb (0.3530, 0.1470, 0.5000)  2 C 2.19
C (0.2628, 0.7628, 0.0000)  2 Sb 2.19
C (0.7628, 0.7372, 0.0000)  2 Sb 2.19
C (0.7372, 0.2372, 0.0000)  2 Sb 2.19
C (0.2372, 0.2628, 0.0000)  2 Sb 2.19

- Crystal system: tetragonal
- Uncorrected energy: -5.840 eV per atom
- DOS(E_F): 2.0 states/eV/f.u.
- Energy relative to the lowest polymorph listed for this composition: 267 meV per atom
- Formation energy from raw total energies: 791 meV/atom

=====

Computed, not measured: Tb2Er12Th5 after structural relaxation at the GGA-PBE level of DFT.

a = 6.9391 Å, b = 11.4408 Å, c = 8.5990 Å
α = 71.88°, β = 90.00°, γ = 107.65°
Closest atoms and distances in Å follow each position.
Sites, in units of the cell vectors:
Tb (0.7449, 0.0000, 0.0000)  6 Er 3.36-3.58, 2 Tb 3.40-3.54, 2 Th 3.56
Tb (0.2551, 0.0000, 0.0000)  6 Er 3.36-3.58, 2 Tb 3.40-3.54, 2 Th 3.56
Er (0.8506, 0.7012, 0.0784)  3 Th 3.47-3.51, 6 Er 3.50-3.53, 2 Tb 3.57
Er (0.0508, 0.5978, 0.7900)  7 Er 3.44-3.62, 4 Th 3.45-3.56
Er (0.5470, 0.5978, 0.7900)  7 Er 3.44-3.62, 4 Th 3.45-3.56
Er (0.1497, 0.7832, 0.3809)  1 Tb 3.36, 6 Er 3.36-3.74, 4 Th 3.38-3.40
Er (0.6335, 0.7832, 0.3809)  1 Tb 3.36, 6 Er 3.36-3.74, 4 Th 3.38-3.40
Er (0.4530, 0.9060, 0.6898)  3 Er 3.24-3.62, 1 Th 3.46, 2 Tb 3.58
Er (0.5470, 0.0940, 0.3102)  3 Er 3.24-3.62, 1 Th 3.46, 2 Tb 3.58
Er (0.8503, 0.2168, 0.6191)  1 Tb 3.36, 6 Er 3.36-3.74, 4 Th 3.38-3.40
Er (0.3665, 0.2168, 0.6191)  1 Tb 3.36, 6 Er 3.36-3.74, 4 Th 3.38-3.40
Er (0.9492, 0.4022, 0.2100)  7 Er 3.44-3.62, 4 Th 3.45-3.56
Er (0.4530, 0.4022, 0.2100)  7 Er 3.44-3.62, 4 Th 3.45-3.56
Er (0.1494, 0.2988, 0.9216)  3 Th 3.47-3.51, 6 Er 3.50-3.53, 2 Tb 3.57
Th (0.2480, 0.4961, 0.5070)  9 Er 3.39-3.51, 3 Th 3.47-3.53
Th (0.3486, 0.6973, 0.0913)  9 Er 3.38-3.56, 1 Th 3.53, 2 Tb 3.56
Th (0.0000, 0.0000, 0.5000)  4 Er 3.38
Th (0.6514, 0.3027, 0.9087)  9 Er 3.38-3.56, 1 Th 3.53, 2 Tb 3.56
Th (0.7520, 0.5039, 0.4930)  9 Er 3.39-3.51, 3 Th 3.47-3.53

- Crystal system: monoclinic
- Uncorrected energy: -5.160 eV per atom
- ΔE_f: 162 meV/atom
- DOS(E_F): 30.2 states/eV/f.u.
- Energy relative to the lowest polymorph listed for this composition: 0 meV per atom

=====

Q: uncorrected energy of number 2 (Tb2Er12Th5)?
A: -5.160 eV per atom